## ZrIn3O (GGA-PBE)

Data for a relaxed ZrIn3O crystal.

```
5
Lattice="5.677 0.000 0.000 0.000 5.677 0.000 0.000 0.000 5.677" Properties=species:S:1:pos:R:3 pbc="T T T"
O 2.839 2.839 2.839
Zr 0.000 0.000 0.000
In 0.000 2.839 0.000
In 0.000 0.000 2.839
In 2.839 0.000 0.000
```

Properties
The calculation puts the energy above the most stable polymorph in this dataset at 1287.4 meV per atom. The calculation puts the density of states at the Fermi level at 1.78 states/eV/atom. The mass density comes out at 4.1 Mg/m³. For the formation energy (no corrections), the calculation gives 1.046 eV per atom. As for the total energy: -16.49 eV/cell.